(1)
The following is a PBE calculation of La2Pr2Tc after structural relaxation, from Alexandria.

Geometry as CIF:
```
data_La2Pr2Tc
_cell_length_a 4.983
_cell_length_b 4.983
_cell_length_c 26.672
_cell_angle_alpha 90.00
_cell_angle_beta 90.00
_cell_angle_gamma 90.00
_space_group_name_H-M_alt 'I 41/a m d'
_space_group_IT_number 141
loop_
_space_group_symop_operation_xyz
'x,y,z'
'-x,-y,-z'
'-y+1/4,x+3/4,z+1/4'
'y+1/4,-x+3/4,-z+1/4'
'-x+1/2,-y,z+1/2'
'x+1/2,y,-z+1/2'
'y+1/4,-x+1/4,z+3/4'
'-y+1/4,x+1/4,-z+3/4'
'x,-y,-z'
'-x,y,z'
'-y+1/4,-x+1/4,-z+3/4'
'y+1/4,x+1/4,z+3/4'
'-x+1/2,y,-z+1/2'
'x+1/2,-y,z+1/2'
'y+1/4,x+3/4,-z+1/4'
'-y+1/4,-x+3/4,z+1/4'
'x+1/2,y+1/2,z+1/2'
'-x+1/2,-y+1/2,-z+1/2'
'-y+3/4,x+1/4,z+3/4'
'y+3/4,-x+1/4,-z+3/4'
'-x,-y+1/2,z'
'x,y+1/2,-z'
'y+3/4,-x+3/4,z+1/4'
'-y+3/4,x+3/4,-z+1/4'
'x+1/2,-y+1/2,-z+1/2'
'-x+1/2,y+1/2,z+1/2'
'-y+3/4,-x+3/4,-z+1/4'
'y+3/4,x+3/4,z+1/4'
'-x,y+1/2,-z'
'x,-y+1/2,z'
'y+3/4,x+1/4,-z+3/4'
'-y+3/4,-x+1/4,z+3/4'
loop_
_atom_site_label
_atom_site_fract_x
_atom_site_fract_y
_atom_site_fract_z
La1 0.000 0.250 0.070
Pr1 0.000 0.250 0.199
Tc1 0.000 0.250 0.875
```

=====

(2)
The following is a PBE calculation of LaPrTc4 after structural relaxation, from Alexandria.

Geometry as CIF:
```
data_LaPrTc4
_cell_length_a 7.805
_cell_length_b 7.805
_cell_length_c 7.805
_cell_angle_alpha 90.00
_cell_angle_beta 90.00
_cell_angle_gamma 90.00
_space_group_name_H-M_alt 'F -4 3 m'
_space_group_IT_number 216
_space_group_name_Hall 'F -4 2 3'
loop_
_atom_site_label
_atom_site_fract_x
_atom_site_fract_y
_atom_site_fract_z
La1 0.000 0.000 0.000
Pr1 0.250 0.250 0.750
Tc1 0.125 0.125 0.375
```

=====

(3)
# La2PrTc, relaxed, DFT PBE
# Energy above the most stable polymorph in this dataset in kcal/mol of atoms: 5.90
data_La2PrTc
_cell_length_a 4.8943
_cell_length_b 4.8943
_cell_length_c 16.2350
_cell_angle_alpha 90.00
_cell_angle_beta 90.00
_cell_angle_gamma 120.00
_space_group_name_H-M_alt 'R -3 m'
_space_group_IT_number 166
_space_group_name_Hall '-R 3 2"'
loop_
_atom_site_label
_atom_site_fract_x
_atom_site_fract_y
_atom_site_fract_z
La1 0.0000 0.0000 0.2310
Pr1 0.0000 0.0000 0.0000
Tc1 0.0000 0.0000 0.5000

=====

(4)
# La2PrTc, relaxed, DFT PBE
# Energy above the most stable polymorph in this dataset in kcal/mol of atoms: 3.04
data_La2PrTc
_cell_length_a 3.562
_cell_length_b 3.562
_cell_length_c 9.476
_cell_angle_alpha 90.00
_cell_angle_beta 90.00
_cell_angle_gamma 90.00
_space_group_name_H-M_alt 'P 4/m m m'
_space_group_IT_number 123
_space_group_name_Hall '-P 4 2'
loop_
_atom_site_label
_atom_site_fract_x
_atom_site_fract_y
_atom_site_fract_z
La1 0.000 0.000 0.185
Pr1 0.500 0.500 0.500
Tc1 0.500 0.500 0.000

=====

| no. | formation energy (kJ/mol of atoms) |
| --- | --- |
| 1 | 12.5 |
| 2 | 11.0 |
| 3 | 23.8 |
| 4 | 11.8 |